(1)
Density functional theory data (PBE-GGA) for RbGaPb after structural relaxation.

Values from the calculation:
final energy	-2.6924	eV per atom
formation energy from the elements	-125	meV per atom

a = 12.675 Å, b = 4.692 Å, c = 8.776 Å
α = 90.00°, β = 125.80°, γ = 90.00°
Space group C2/m (No. 12)
Unique sites:
Rb  0.069  0.000  0.343 x4
Ga  0.121  0.500  0.059 x4
Pb  0.213  0.500  0.820 x4

---

(2)
Density functional theory data (PBE-GGA) for BeAl2Cd after structural relaxation.

Values from the calculation:
final energy	-2.5823	eV per atom
formation energy from the elements	449	meV per atom
offset from the most stable computed form	239	meV/atom

a = 6.459 Å, b = 6.459 Å, c = 6.459 Å
α = 90.00°, β = 90.00°, γ = 90.00°
Space group F-43m (No. 216)
Unique sites:
Be  0.000  0.000  0.000 x4
Al  0.000  0.000  0.500 x4
Al  0.250  0.250  0.750 x4
Cd  0.250  0.250  0.250 x4

---

(3)
Density functional theory data (PBE-GGA) for Li2Sm2USe6 after structural relaxation.

Values from the calculation:
final energy	-5.6398	eV per atom
uncorrected formation energy	-1.51	eV/atom

a = 7.229 Å, b = 12.477 Å, c = 6.888 Å
α = 90.00°, β = 109.95°, γ = 90.00°
Space group C2/m (No. 12)
Unique sites:
Li  0.000  0.167  0.000 x4
Sm  0.000  0.334  0.500 x4
U  0.000  0.000  0.500 x2
Se  0.237  0.000  0.250 x4
Se  0.241  0.165  0.751 x8

---

(4)
Density functional theory data (PBE-GGA) for TaSbPb2 after structural relaxation.

Values from the calculation:
final energy	-5.3837	eV per atom
uncorrected formation energy	0.46	eV/atom

a = 3.2929 Å, b = 3.2929 Å, c = 32.5785 Å
α = 90.00°, β = 90.00°, γ = 120.00°
Space group R-3m (No. 166, hexagonal axes)
Unique sites:
Ta  0.0000  0.0000  0.0000 x3
Sb  0.0000  0.0000  0.5000 x3
Pb  0.0000  0.0000  0.2572 x6